! Y4Tl, relaxed, DFT PBE; values from VASP
! E above lowest polymorph   60 meV/atom
! E_form   -0.046 eV/atom
! Space-group type   P-42_1c, No. 114
&SYSTEM
  ibrav = 0, nat = 10, ntyp = 2
/
ATOMIC_SPECIES
Y 88.91 Y.upf
Tl 204.38 Tl.upf
ATOMIC_POSITIONS angstrom
Y -2.9769 -0.9023 0.4368
Y -7.2463 3.0187 1.7776
Y -7.5950 -1.0819 -0.5424
Y -4.9057 0.0754 4.6371
Y -5.4687 1.8147 -1.1538
Y -3.3244 2.2626 2.1876
Y -5.6536 -2.8379 1.9773
Y -8.2772 -0.1294 3.2979
Tl 0.0000 0.0000 0.0000
Tl -5.6810 0.2775 1.5773
CELL_PARAMETERS angstrom
-2.5598 4.4687 4.3214
-5.0945 1.1700 -4.2277
-3.7076 -5.0837 3.0609

---

! Y3Tl4, relaxed, DFT PBE; values from VASP
! E above lowest polymorph   203 meV/atom
! E_form   -0.137 eV/atom
! Space-group type   I4/mmm, No. 139
&SYSTEM
  ibrav = 0, nat = 7, ntyp = 2
/
ATOMIC_SPECIES
Y 88.91 Y.upf
Tl 204.38 Tl.upf
ATOMIC_POSITIONS angstrom
Y 0.0000 0.0000 0.0000
Y 0.0000 0.0000 20.6966
Y 0.0000 0.0000 8.4922
Tl 0.0000 0.0000 25.1688
Tl 0.0000 0.0000 4.0200
Tl 0.0000 0.0000 16.6397
Tl 0.0000 0.0000 12.5491
CELL_PARAMETERS angstrom
-1.8578 1.8578 14.5944
1.8578 -1.8578 14.5944
1.8578 1.8578 -14.5944

---

! Y5Tl6, relaxed, DFT PBE; values from VASP
! E_form   -0.300 eV/atom
! Space-group type   Immm, No. 71
&SYSTEM
  ibrav = 0, nat = 11, ntyp = 2
/
ATOMIC_SPECIES
Y 88.91 Y.upf
Tl 204.38 Tl.upf
ATOMIC_POSITIONS angstrom
Y -0.5994 -3.5536 1.0557
Y -1.8290 -2.3485 4.4132
Y 2.2611 1.0329 4.7604
Y 1.7102 -2.4985 5.9181
Y -1.2781 1.1829 3.2555
Tl -3.2741 -4.7124 2.5776
Tl -2.6491 -1.0195 1.4795
Tl 0.2283 3.5315 5.2528
Tl -0.3792 -0.0669 6.3221
Tl 0.2038 -4.8471 3.9208
Tl 0.8113 -1.2487 2.8515
CELL_PARAMETERS angstrom
-4.7246 1.3753 1.9457
-1.1987 -7.1071 2.1115
6.3554 4.4162 5.1164

---

! Y4Tl5, relaxed, DFT PBE; values from VASP
! E above lowest polymorph   61 meV/atom
! E_form   -0.260 eV/atom
! Space-group type   I4/mmm, No. 139
&SYSTEM
  ibrav = 0, nat = 9, ntyp = 2
/
ATOMIC_SPECIES
Tl 204.38 Tl.upf
Y 88.91 Y.upf
ATOMIC_POSITIONS angstrom
Tl 0.0000 0.0000 0.0000
Tl 3.1055 1.4633 0.0000
Tl -1.7434 2.9573 0.0000
Tl 0.0000 0.0000 4.8744
Tl 0.6810 2.2103 2.5369
Y 4.8636 -1.4985 5.0892
Y 2.2191 -0.6837 2.3221
Y -2.2191 0.6837 2.3221
Y -4.8636 1.4985 5.0892
CELL_PARAMETERS angstrom
7.7638 0.0281 0.0000
-6.4017 4.3926 0.0000
-0.6810 -2.2103 7.4113

---

! Y5Tl4, relaxed, DFT PBE; values from VASP
! E above lowest polymorph   265 meV/atom
! E_form   -0.115 eV/atom
! Space-group type   I4/mmm, No. 139
&SYSTEM
  ibrav = 0, nat = 9, ntyp = 2
/
ATOMIC_SPECIES
Y 88.91 Y.upf
Tl 204.38 Tl.upf
ATOMIC_POSITIONS angstrom
Y 0.0000 0.0000 0.0000
Y 1.6184 1.1071 2.9322
Y 3.1131 -0.1726 -1.6498
Y 2.6304 -1.8969 1.3878
Y 0.5043 -4.5059 1.4230
Tl 0.9248 -2.7453 -1.4114
Tl 2.0159 -5.9841 -3.0766
Tl -0.9616 -3.4349 6.0511
Tl -0.4412 -1.5758 2.7760
CELL_PARAMETERS angstrom
4.5375 -1.3921 -6.0163
0.1941 2.3267 7.2988
-1.5968 -7.3374 1.5283

---

! Y2Tl, relaxed, DFT PBE; values from VASP
! E_form   -0.014 eV/atom
! Space-group type   Pa-3, No. 205
&SYSTEM
  ibrav = 0, nat = 12, ntyp = 2
/
ATOMIC_SPECIES
Y 88.91 Y.upf
Tl 204.38 Tl.upf
ATOMIC_POSITIONS angstrom
Y 1.8808 2.0212 6.8527
Y 4.5684 1.4413 3.7068
Y 4.7543 -1.5361 6.2641
Y 1.6949 4.9985 4.2954
Y 0.8828 1.6740 2.3648
Y 5.5664 1.7884 8.1946
Y 5.3805 4.7657 5.6374
Y 1.0687 -1.3033 4.9221
Tl 0.0000 0.0000 0.0000
Tl -0.4540 1.3115 5.0584
Tl 3.2045 3.5975 2.0745
Tl 3.6987 -1.4465 3.4265
CELL_PARAMETERS angstrom
-0.9482 6.3554 3.7064
0.0403 -3.7325 6.4105
7.3571 0.8395 0.4426

---

! YTl4, relaxed, DFT PBE; values from VASP
! E above lowest polymorph   249 meV/atom
! E_form   0.146 eV/atom
! Space-group type   Im-3m, No. 229
&SYSTEM
  ibrav = 0, nat = 5, ntyp = 2
/
ATOMIC_SPECIES
Y 88.91 Y.upf
Tl 204.38 Tl.upf
ATOMIC_POSITIONS angstrom
Y 0.0000 0.0000 0.0000
Tl -1.7971 1.7971 1.7971
Tl 1.7971 1.7971 1.7971
Tl 1.7971 -1.7971 1.7971
Tl 1.7971 1.7971 -1.7971
CELL_PARAMETERS angstrom
-3.5942 3.5942 3.5942
3.5942 -3.5942 3.5942
3.5942 3.5942 -3.5942

---

! Y3Tl, relaxed, DFT PBE; values from VASP
! E_form   -0.157 eV/atom
! Space-group type   Pm-3n, No. 223
&SYSTEM
  ibrav = 0, nat = 8, ntyp = 2
/
ATOMIC_SPECIES
Tl 204.38 Tl.upf
Y 88.91 Y.upf
ATOMIC_POSITIONS angstrom
Tl 0.0000 0.0000 0.0000
Tl 3.0777 3.0777 3.0777
Y 4.6165 3.0777 0.0000
Y 1.5388 3.0777 0.0000
Y 0.0000 4.6165 3.0777
Y 0.0000 1.5388 3.0777
Y 3.0777 0.0000 1.5388
Y 3.0777 0.0000 4.6165
CELL_PARAMETERS angstrom
6.1553 0.0000 0.0000
0.0000 6.1553 0.0000
0.0000 0.0000 6.1553

---

! Y5Tl4, relaxed, DFT PBE; values from VASP
! E above lowest polymorph   0 meV/atom
! E_form   -0.380 eV/atom
! Space-group type   P6_3/mcm, No. 193
&SYSTEM
  ibrav = 0, nat = 18, ntyp = 2
/
ATOMIC_SPECIES
Tl 204.38 Tl.upf
Y 88.91 Y.upf
ATOMIC_POSITIONS angstrom
Tl 0.0000 0.0000 0.0000
Tl 0.0000 0.0000 3.3706
Tl -1.7527 3.0357 1.6853
Tl 2.9153 5.0495 1.6853
Tl 3.5053 0.0000 1.6853
Tl -2.9153 5.0495 5.0559
Tl 1.7527 3.0357 5.0559
Tl 5.8307 0.0000 5.0559
Y -3.3276 5.7636 1.6853
Y 1.3404 2.3216 1.6853
Y 6.6553 0.0000 1.6853
Y -1.3404 2.3216 5.0559
Y 3.3276 5.7636 5.0559
Y 2.6807 0.0000 5.0559
Y 4.6680 2.6951 0.0000
Y 0.0000 5.3901 3.3706
Y 0.0000 5.3901 0.0000
Y 4.6680 2.6951 3.3706
CELL_PARAMETERS angstrom
9.3360 0.0000 0.0000
-4.6680 8.0852 0.0000
0.0000 0.0000 6.7412

---

! Y8Tl, relaxed, DFT PBE; values from VASP
! E_form   -0.044 eV/atom
! Space-group type   I4/mmm, No. 139
&SYSTEM
  ibrav = 0, nat = 9, ntyp = 2
/
ATOMIC_SPECIES
Tl 204.38 Tl.upf
Y 88.91 Y.upf
ATOMIC_POSITIONS angstrom
Tl 0.0000 0.0000 0.0000
Y -1.5740 3.0736 0.0000
Y 3.0740 1.5732 0.0000
Y -2.4193 0.7809 2.5423
Y 0.7500 2.3234 2.4421
Y 2.4193 -0.7810 2.5423
Y 0.0000 0.0000 5.1374
Y -4.7936 1.5474 5.0372
Y 4.7936 -1.5474 5.0372
CELL_PARAMETERS angstrom
7.9629 -0.0049 0.0000
-6.4630 4.6517 0.0000
-0.7500 -2.3234 7.5794

---

! Y3Tl, relaxed, DFT PBE; values from VASP
! E_form   -0.202 eV/atom
! Space-group type   Immm, No. 71
&SYSTEM
  ibrav = 0, nat = 4, ntyp = 2
/
ATOMIC_SPECIES
Y 88.91 Y.upf
Tl 204.38 Tl.upf
ATOMIC_POSITIONS angstrom
Y -4.6565 -3.4531 0.0924
Y -4.1963 -0.1744 -1.5929
Y -2.8443 -0.4768 1.4878
Tl -0.2508 0.2727 -0.2567
CELL_PARAMETERS angstrom
-5.2629 -3.0036 -2.7716
-3.5502 -4.4462 3.4683
2.2695 6.2582 -0.2930

---

! Y4Tl, relaxed, DFT PBE; values from VASP
! E above lowest polymorph   0 meV/atom
! E_form   -0.106 eV/atom
! Space-group type   I4/m, No. 87
&SYSTEM
  ibrav = 0, nat = 5, ntyp = 2
/
ATOMIC_SPECIES
Tl 204.38 Tl.upf
Y 88.91 Y.upf
ATOMIC_POSITIONS angstrom
Tl 0.0000 0.0000 0.0000
Y 3.0526 1.3181 1.0667
Y 0.9793 -0.4229 3.2583
Y -2.0932 0.9038 4.4715
Y -0.0199 2.6448 2.2800
CELL_PARAMETERS angstrom
6.0439 0.0265 0.0000
-4.1250 4.4175 0.0000
-0.9595 -2.2220 5.5382